# Ca2V2O9 | Alexandria via LeMat-Bulk | PBE+U | optimized geometry
data_Ca2V2O9
_space_group_name_H-M_alt 'P 1'
_space_group_IT_number 1
_cell_length_a 6.628
_cell_length_b 8.580
_cell_length_c 8.621
_cell_angle_alpha 67.80
_cell_angle_beta 89.77
_cell_angle_gamma 67.32
loop_
_space_group_symop_operation_xyz
'x,y,z'
loop_
_atom_site_label
_atom_site_type_symbol
_atom_site_fract_x
_atom_site_fract_y
_atom_site_fract_z
_atom_site_occupancy
Ca1 Ca 0.130 0.046 0.298 1
Ca2 Ca 0.323 0.045 0.799 1
Ca3 Ca 0.677 0.955 0.201 1
Ca4 Ca 0.870 0.954 0.702 1
V1 V 0.260 0.742 0.145 1
V2 V 0.499 0.741 0.644 1
V3 V 0.501 0.259 0.356 1
V4 V 0.740 0.258 0.855 1
O1 O 0.063 0.804 0.267 1
O2 O 0.068 0.569 0.690 1
O3 O 0.137 0.791 0.950 1
O4 O 0.138 0.427 0.822 1
O5 O 0.221 0.897 0.604 1
O6 O 0.369 0.195 0.234 1
O7 O 0.381 0.899 0.106 1
O8 O 0.421 0.212 0.549 1
O9 O 0.451 0.501 0.249 1
O10 O 0.549 0.499 0.751 1
O11 O 0.579 0.788 0.451 1
O12 O 0.619 0.101 0.894 1
O13 O 0.631 0.805 0.766 1
O14 O 0.779 0.103 0.396 1
O15 O 0.862 0.573 0.178 1
O16 O 0.863 0.209 0.050 1
O17 O 0.932 0.431 0.310 1
O18 O 0.937 0.196 0.733 1
# total DFT energy (no corrections): -6.9437 eV per atom